[1]
LiTaPd2 | Alexandria via LeMat-Bulk | GGA-PBE | relaxed; SG = I-42d; E_form = 0.12 eV/atom
1.0
-6.128 1.703 -2.511
1.770 -2.590 -6.076
-3.179 -2.918 -3.530
Li Pd Ta
2 4 2
direct
0.500 0.500 0.000
0.250 0.750 0.500
0.611 0.125 0.250
0.139 0.625 0.250
0.375 0.389 0.750
0.875 0.861 0.750
0.000 0.000 0.000
0.750 0.250 0.500

***

[2]
ScPS2Br | Alexandria via LeMat-Bulk | GGA-PBE | relaxed; ΔE_f (raw) = 0.057 eV per atom; SG = P4/mmm
1.0
-0.177 3.896 2.797
-1.823 -2.644 3.566
5.035 -1.056 1.790
Sc P S Br
1 1 2 1
direct
0.000 0.000 0.000
0.000 0.000 0.500
0.000 0.500 0.000
0.500 0.000 0.000
0.500 0.500 0.500

***

[3]
RbCu3Te | Alexandria via LeMat-Bulk | GGA-PBE | relaxed; ΔE_f (raw) = 1.578 eV per atom; SG = Pm-3m
1.0
-2.007 4.240 2.200
-4.523 -0.920 -2.354
-1.536 -2.833 4.058
Te Cu Rb
1 3 1
direct
0.500 0.500 0.500
0.000 0.500 0.000
0.000 0.000 0.500
0.500 0.000 0.000
0.000 0.000 0.000